The following is a DFT calculation (PBE with a Hubbard U) of crystalline MoPF2 at its relaxed geometry.

Results
- polymorph energy (0 for the lowest one) (meV/atom) = 630
- total magnetization (μB per atom) = 0.7535
- mass density (g cm⁻³) = 4.87
- DOS at the Fermi energy (states/eV per cell) = 13.33

abc: 6.0815 6.0815 6.0815
angles: 90.00 90.00 90.00
With the nearest neighbours (Å) after each atom.
Space group Fm-3m (No. 225)
Symmetry-distinct sites (fractional):
Mo (0.0000, 0.0000, 0.0000) [4 per cell]  8 F 2.63
P (0.0000, 0.0000, 0.5000) [4 per cell]  8 F 2.63
F (0.2500, 0.2500, 0.2500) [8 per cell]  4 Mo 2.63, 4 P 2.63